CeCoTe | GGA-PBE | optimized geometry

a b c (Å): 4.246 4.246 4.185
angles (deg): 90.00 90.00 120.00
Fractional positions:
Ce  0.000  0.000  0.000
Co  0.667  0.333  0.627
Te  0.333  0.667  0.503

The total DFT energy (no corrections) is -0.226 Ha/atom. The calculation puts the calculated density at 8.302 g/cm³. The calculated volume comes out at 65.3 Å³/f.u. The value obtained for the total magnetization is 0.6 μB/f.u.